BeCrTc | meta-GGA SCAN | single point on PBEsol structure

Values from the calculation:
calculated formation energy	58	kJ/mol of atoms

Unit cell a=5.4682 b=5.4682 c=5.4682 alpha=90.00 beta=90.00 gamma=90.00
Last column: nearest neighbours and their distance in Å.
Space group F-43m (No. 216)
Symmetry-distinct sites (fractional):
Be 0.0000 0.0000 0.0000 (multiplicity 4)  4 Tc 2.37
Cr 0.0000 0.0000 0.5000 (multiplicity 4)  4 Tc 2.37
Tc 0.2500 0.2500 0.7500 (multiplicity 4)  4 Cr 2.37, 4 Be 2.37